DFT (PBE) results for a relaxed structure of Mg2VCuBi.

a b c (Å): 4.7338 4.7338 5.2538
angles (deg): 90.00 90.00 90.00
Sites, in units of the cell vectors:
Mg 0.0000 0.5000 0.0000
Mg 0.5000 0.0000 0.0000
V 0.0000 0.0000 0.5000
Cu 0.5000 0.5000 0.0000
Bi 0.5000 0.5000 0.5000

Summary:
V: 118 Å³/cell
magnetic moment: 0.057 μB/atom
space-group type: No. 123
ΔE_f: 0.830 eV/atom

DFT (PBE) results for a relaxed structure of MgHPd3.

a b c (Å): 3.8105 3.8105 6.4612
angles (deg): 90.00 90.00 90.00
Sites, in units of the cell vectors:
Mg 0.0000 0.0000 0.0000
H 0.5000 0.5000 0.2851
Pd 0.0000 0.0000 0.6087
Pd 0.0000 0.5000 0.2982
Pd 0.5000 0.0000 0.2982

Summary:
V: 94 Å³/cell
magnetic moment: 0.000 μB/atom
space-group type: No. 99
uncorrected energy: -19.87 eV/cell

DFT (PBE) results for a relaxed structure of K4LiTl5.

a b c (Å): 8.2944 8.2944 8.2944
angles (deg): 101.29 101.29 127.47
Sites, in units of the cell vectors:
K 0.0674 0.3061 0.3735
K 0.3061 0.9326 0.2387
K 0.6939 0.0674 0.7613
K 0.9326 0.6939 0.6265
Li 0.7975 0.7975 0.0000
Tl 0.1747 0.1747 0.0000
Tl 0.3107 0.5819 0.8842
Tl 0.4266 0.3107 0.7288
Tl 0.5819 0.6978 0.2712
Tl 0.6978 0.4266 0.1158

Summary:
V: 406 Å³/cell
magnetic moment: 0.000 μB/atom
space-group type: No. 79
ΔE_f: -0.064 eV/atom

DFT (PBE) results for a relaxed structure of KTa2Co.

a b c (Å): 3.9284 3.9284 10.0409
angles (deg): 90.00 90.00 90.00
Sites, in units of the cell vectors:
K 0.0000 0.0000 0.0000
K 0.5000 0.5000 0.5000
Ta 0.0000 0.5000 0.2500
Ta 0.0000 0.5000 0.7500
Ta 0.5000 0.0000 0.2500
Ta 0.5000 0.0000 0.7500
Co 0.0000 0.0000 0.5000
Co 0.5000 0.5000 0.0000

Summary:
V: 155 Å³/cell
magnetic moment: 0.169 μB/atom
space-group type: No. 139
ΔE_f: 1.538 eV/atom

DFT (PBE) results for a relaxed structure of HgGe3Pd.

a b c (Å): 4.9059 4.9059 4.9059
angles (deg): 90.00 90.00 90.00
Sites, in units of the cell vectors:
Hg 0.0000 0.0000 0.0000
Ge 0.0000 0.5000 0.5000
Ge 0.5000 0.0000 0.5000
Ge 0.5000 0.5000 0.0000
Pd 0.5000 0.5000 0.5000

Summary:
V: 118 Å³/cell
magnetic moment: 0.000 μB/atom
space-group type: No. 221
ΔE_f: 0.280 eV/atom

DFT (PBE) results for a relaxed structure of TlHg2Rh2.

a b c (Å): 6.9801 6.9801 4.0729
angles (deg): 90.00 90.00 90.00
Sites, in units of the cell vectors:
Tl 0.0000 0.0000 0.0000
Tl 0.5000 0.5000 0.0000
Hg 0.1598 0.3402 0.5000
Hg 0.3402 0.8402 0.5000
Hg 0.6598 0.1598 0.5000
Hg 0.8402 0.6598 0.5000
Rh 0.1376 0.6376 0.0000
Rh 0.3624 0.1376 0.0000
Rh 0.6376 0.8624 0.0000
Rh 0.8624 0.3624 0.0000

Summary:
V: 198 Å³/cell
magnetic moment: 0.000 μB/atom
space-group type: No. 127
ΔE_f: 0.084 eV/atom

- magnetic moment of number 1 (Mg2VCuBi)?
  0.057 μB/atom